Entry from Alexandria: Nd2Mn2O5 after structural relaxation (PBE with a Hubbard U).

a = 12.0371 Å, b = 3.9763 Å, c = 6.3155 Å
α = 90.00°, β = 118.48°, γ = 90.00°
Space group C2/m (No. 12)
Inequivalent atoms, fractional coordinates:
Nd 0.1142 0.0000 0.2809 x4
Mn 0.1430 0.5000 0.8457 x4
O 0.0000 0.5000 0.0000 x2
O 0.1405 0.0000 0.9281 x4
O 0.1615 0.5000 0.5289 x4

Summary:
* V: 265.69 Å³ per cell
* E: -7.943 eV per atom
* spin magnetization: 1.11 μB per atom